An optimized crystal structure of Nd2FeSiO6, computed with PBE+U.

Values from the calculation:
As for the space-group type: No. 99. The density of states at the Fermi level comes out at 3.24 states/eV/f.u. The value obtained for the raw total energy is -7.67 eV per atom. Its crystal system is tetragonal.

Lattice parameters (Å, degrees): 4.312 5.300 5.300 90.00 90.00 90.00
Each line ends with the local moment (μB).
Fractional coordinates of all 10 atoms:
Nd  0.052  0.500  0.000  -0.02
Nd  0.052  0.000  0.500  -0.02
Fe  0.615  0.500  0.500  3.81
Si  0.601  0.000  0.000  0.01
O  0.694  0.227  0.227  0.03
O  0.694  0.227  0.773  0.03
O  0.137  0.500  0.500  0.09
O  0.212  0.000  0.000  0.00
O  0.694  0.773  0.773  0.03
O  0.694  0.773  0.227  0.03